Record 1
Computed, not measured: a relaxed Hf8AlSb2 crystal at the PBE-GGA level of DFT.

It has space group C2/m (No. 12), with a = 7.578 Å, b = 13.230 Å, c = 5.334 Å, α = 90.00°, β = 112.60° and γ = 90.00°. The inequivalent atoms are Hf at (0.000, 0.219, 0.000), Hf at (0.098, 0.500, 0.802), Hf at (0.205, 0.109, 0.654), Al at (0.000, 0.000, 0.000) and Sb at (0.000, 0.302, 0.500).

Its crystal system is monoclinic. As for the energy relative to the elements, uncorrected: -0.093 eV/atom. The calculation puts the magnetic moment at 0.0000 μB/atom.

=====

Record 2
Computed, not measured: a relaxed In2GaSb crystal at the PBE-GGA level of DFT.

It has space group I-42d (No. 122), with a = 6.716 Å, b = 6.716 Å, c = 12.041 Å, α = 90.00°, β = 90.00° and γ = 90.00°. The inequivalent atoms are In at (0.233, 0.250, 0.125), Ga at (0.000, 0.000, 0.000) and Sb at (0.000, 0.000, 0.500).

For the energy above the most stable polymorph in this dataset, the calculation gives 96 meV per atom. Its crystal system is tetragonal. As for the energy relative to the elements, uncorrected: 0.147 eV/atom. The calculation puts the magnetic moment at 0.0000 μB/atom.

=====

Record 3
Computed, not measured: a relaxed Y5Fe4 crystal at the PBE-GGA level of DFT.

It has space group P6_3/mcm (No. 193), with a = 8.5098 Å, b = 8.5098 Å, c = 6.2220 Å, α = 90.00°, β = 90.00° and γ = 120.00°. The inequivalent atoms are Y at (0.0000, 0.2690, 0.2500), Y at (0.3333, 0.6667, 0.0000), Fe at (0.0000, 0.0000, 0.0000) and Fe at (0.0000, 0.3807, 0.7500).

The formation energy comes out at 0.240 eV/atom. For the energy above the most stable polymorph in this dataset, the calculation gives 0 meV per atom. Its crystal system is hexagonal. The calculation puts the magnetic moment at 0.5964 μB/atom.

=====

> What is the formula in the first record?

Hf8AlSb2

=====

> Look up the magnetic moment of the second one.

0.0000 μB/atom